La2SmNpO8 (GGA-PBE, relaxed); raw total energy = -8.7666 eV/atom; calculated volume = 14.43 Å³ per atom; formation energy from raw total energies = -3.168 eV/atom
1.0
4.0219 -0.2101 -0.0019
-0.1771 5.6392 -0.0062
0.0042 0.0084 7.6458
Np O La Sm
1 8 2 1
Direct
0.0000 0.0000 0.0000
0.9630 0.2257 0.2165
0.0370 0.7743 0.7835
0.4967 0.2499 0.5000
0.9631 0.2258 0.7834
0.5033 0.7501 0.5000
0.0369 0.7742 0.2166
0.5634 0.7885 0.0000
0.4366 0.2115 0.0000
0.5000 0.5000 0.2550
0.5000 0.5000 0.7450
0.0000 0.0000 0.5000